[1]
VASP calculation (PBE-GGA) on a geometry-optimized Rb2SnI6Cl structure.

Summary:
For the formation energy (no corrections), the calculation gives -715 meV per atom. For the total moment, the calculation gives 0.0 μB/f.u. For the calculated volume, the calculation gives 913.0 Å³/cell.

CIF file:
```
data_Rb2SnI6Cl
_cell_length_a 8.8561
_cell_length_b 8.8561
_cell_length_c 11.6403
_cell_angle_alpha 90.00
_cell_angle_beta 90.00
_cell_angle_gamma 90.00
_symmetry_space_group_name_H-M 'I 4/m m m'
_symmetry_Int_Tables_number 139
_symmetry_space_group_name_Hall '-I 4 2'
loop_
_atom_site_label
_atom_site_type_symbol
_atom_site_fract_x
_atom_site_fract_y
_atom_site_fract_z
_atom_site_occupancy
Rb1 Rb 0.0000 0.5000 0.2500 1
Sn1 Sn 0.0000 0.0000 0.0000 1
I1 I 0.0000 0.0000 0.2527 1
I2 I 0.2322 0.2322 0.0000 1
Cl1 Cl 0.0000 0.0000 0.5000 1
```

[2]
VASP calculation (PBE-GGA) on a geometry-optimized RbSnICl2 structure.

Summary:
For the formation energy (no corrections), the calculation gives -1213 meV per atom. For the total moment, the calculation gives 0.0 μB/f.u. For the calculated volume, the calculation gives 197.0 Å³/cell.

CIF file:
```
data_RbSnICl2
_cell_length_a 5.5891
_cell_length_b 5.5891
_cell_length_c 6.3056
_cell_angle_alpha 90.00
_cell_angle_beta 90.00
_cell_angle_gamma 90.00
_symmetry_space_group_name_H-M 'P 4/m m m'
_symmetry_Int_Tables_number 123
_symmetry_space_group_name_Hall '-P 4 2'
loop_
_atom_site_label
_atom_site_type_symbol
_atom_site_fract_x
_atom_site_fract_y
_atom_site_fract_z
_atom_site_occupancy
Rb1 Rb 0.0000 0.0000 0.0000 1
Sn1 Sn 0.5000 0.5000 0.5000 1
I1 I 0.5000 0.5000 0.0000 1
Cl1 Cl 0.0000 0.5000 0.5000 1
```

[3]
VASP calculation (PBE-GGA) on a geometry-optimized Rb2SnI2Cl2 structure.

Summary:
For the formation energy (no corrections), the calculation gives -1323 meV per atom. For the total moment, the calculation gives 0.0 μB/f.u. For the calculated volume, the calculation gives 589.5 Å³/cell.

CIF file:
```
data_Rb2SnI2Cl2
_cell_length_a 5.5983
_cell_length_b 5.5983
_cell_length_c 18.8103
_cell_angle_alpha 90.00
_cell_angle_beta 90.00
_cell_angle_gamma 90.00
_symmetry_space_group_name_H-M 'I 4/m m m'
_symmetry_Int_Tables_number 139
_symmetry_space_group_name_Hall '-I 4 2'
loop_
_atom_site_label
_atom_site_type_symbol
_atom_site_fract_x
_atom_site_fract_y
_atom_site_fract_z
_atom_site_occupancy
Rb1 Rb 0.0000 0.0000 0.1311 1
Sn1 Sn 0.0000 0.0000 0.5000 1
I1 I 0.0000 0.0000 0.3307 1
Cl1 Cl 0.0000 0.5000 0.0000 1
```

[4]
VASP calculation (PBE-GGA) on a geometry-optimized Rb2TaICl6 structure.

Summary:
For the formation energy (no corrections), the calculation gives -1375 meV per atom. For the total moment, the calculation gives 0.0 μB/f.u. For the calculated volume, the calculation gives 1669.0 Å³/cell.

CIF file:
```
data_Rb2TaICl6
_cell_length_a 11.8619
_cell_length_b 11.8619
_cell_length_c 11.8619
_cell_angle_alpha 90.00
_cell_angle_beta 90.00
_cell_angle_gamma 90.00
_symmetry_space_group_name_H-M 'F m -3 m'
_symmetry_Int_Tables_number 225
_symmetry_space_group_name_Hall '-F 4 2 3'
loop_
_atom_site_label
_atom_site_type_symbol
_atom_site_fract_x
_atom_site_fract_y
_atom_site_fract_z
_atom_site_occupancy
Rb1 Rb 0.2500 0.2500 0.2500 1
Ta1 Ta 0.0000 0.0000 0.0000 1
I1 I 0.0000 0.0000 0.5000 1
Cl1 Cl 0.0000 0.0000 0.2004 1
```

[5]
VASP calculation (PBE-GGA) on a geometry-optimized Rb2TcI2Cl4 structure.

Summary:
For the formation energy (no corrections), the calculation gives -1133 meV per atom. For the total moment, the calculation gives 3.0 μB/f.u. For the calculated volume, the calculation gives 628.2 Å³/cell.

CIF file:
```
data_Rb2TcI2Cl4
_cell_length_a 7.7292
_cell_length_b 7.7292
_cell_length_c 10.5154
_cell_angle_alpha 90.00
_cell_angle_beta 90.00
_cell_angle_gamma 90.00
_symmetry_space_group_name_H-M 'I 4/m m m'
_symmetry_Int_Tables_number 139
_symmetry_space_group_name_Hall '-I 4 2'
loop_
_atom_site_label
_atom_site_type_symbol
_atom_site_fract_x
_atom_site_fract_y
_atom_site_fract_z
_atom_site_occupancy
Rb1 Rb 0.0000 0.5000 0.2500 1
Tc1 Tc 0.0000 0.0000 0.0000 1
I1 I 0.0000 0.0000 0.2624 1
Cl1 Cl 0.2176 0.2176 0.0000 1
```

[6]
VASP calculation (PBE-GGA) on a geometry-optimized RbTeICl2 structure.

Summary:
For the formation energy (no corrections), the calculation gives -820 meV per atom. For the total moment, the calculation gives 0.0 μB/f.u. For the calculated volume, the calculation gives 193.9 Å³/cell.

CIF file:
```
data_RbTeICl2
_cell_length_a 5.5669
_cell_length_b 5.5669
_cell_length_c 6.2563
_cell_angle_alpha 90.00
_cell_angle_beta 90.00
_cell_angle_gamma 90.00
_symmetry_space_group_name_H-M 'P 4/m m m'
_symmetry_Int_Tables_number 123
_symmetry_space_group_name_Hall '-P 4 2'
loop_
_atom_site_label
_atom_site_type_symbol
_atom_site_fract_x
_atom_site_fract_y
_atom_site_fract_z
_atom_site_occupancy
Rb1 Rb 0.0000 0.0000 0.0000 1
Te1 Te 0.5000 0.5000 0.5000 1
I1 I 0.5000 0.5000 0.0000 1
Cl1 Cl 0.0000 0.5000 0.5000 1
```

> calculated volume of number 4 (Rb2TaICl6)?

1669.0 Å³/cell

> Which value of calculated volume does entry 5 give?

628.2 Å³/cell

Copy entry 2 word for word.
VASP calculation (PBE-GGA) on a geometry-optimized RbSnICl2 structure.

Summary:
For the formation energy (no corrections), the calculation gives -1213 meV per atom. For the total moment, the calculation gives 0.0 μB/f.u. For the calculated volume, the calculation gives 197.0 Å³/cell.

CIF file:
```
data_RbSnICl2
_cell_length_a 5.5891
_cell_length_b 5.5891
_cell_length_c 6.3056
_cell_angle_alpha 90.00
_cell_angle_beta 90.00
_cell_angle_gamma 90.00
_symmetry_space_group_name_H-M 'P 4/m m m'
_symmetry_Int_Tables_number 123
_symmetry_space_group_name_Hall '-P 4 2'
loop_
_atom_site_label
_atom_site_type_symbol
_atom_site_fract_x
_atom_site_fract_y
_atom_site_fract_z
_atom_site_occupancy
Rb1 Rb 0.0000 0.0000 0.0000 1
Sn1 Sn 0.5000 0.5000 0.5000 1
I1 I 0.5000 0.5000 0.0000 1
Cl1 Cl 0.0000 0.5000 0.5000 1
```